(1)
Entry from Alexandria via LeMat-Bulk: a geometry-optimized SiTc2Pt structure (PBE-GGA).

abc: 5.064 5.064 5.064
angles: 145.47 128.84 63.19
Sites, in units of the cell vectors:
Pt 0.471 0.471 0.000
Si 0.251 0.751 0.500
Tc 0.024 0.024 0.000
Tc 0.753 0.253 0.500

Computed properties:
- crystal system = orthorhombic
- ΔE_f (raw) (eV/atom) = -0.30

***

(2)
Entry from Alexandria via LeMat-Bulk: a geometry-optimized SiTcPt structure (PBE-GGA).

abc: 2.840 2.840 6.166
angles: 90.00 90.00 120.00
Sites, in units of the cell vectors:
Pt 0.000 0.000 0.021
Si 0.667 0.333 0.337
Tc 0.333 0.667 0.641

Computed properties:
- energy above the most stable polymorph in this dataset (meV per atom) = 104.1
- crystal system = trigonal
- ΔE_f (raw) (eV/atom) = -0.24

***

(3)
Entry from Alexandria via LeMat-Bulk: a geometry-optimized SiTc2Pt structure (PBE-GGA).

abc: 2.823 3.748 5.464
angles: 90.00 90.00 90.00
Sites, in units of the cell vectors:
Pt 0.000 0.000 0.523
Si 0.500 0.500 0.742
Tc 0.000 0.000 0.014
Tc 0.500 0.500 0.221

Computed properties:
- crystal system = orthorhombic
- ΔE_f (raw) (eV/atom) = -0.16